Entry 1:
! Zn2CoCu (PBE-GGA, relaxed); values from VASP
! - SG = P4/mmm, No. 123
! - final energy (eV per atom) = -3.50
! - crystal system = tetragonal
! - mass density (g cm⁻³) = 8.49
! - calculated formation energy (eV/f.u.) = -0.24
! - size of the total moment (μB per formula unit) = 0.00
&SYSTEM
  ibrav = 0, nat = 4, ntyp = 3
/
ATOMIC_SPECIES
Zn 65.41 Zn.upf
Cu 63.55 Cu.upf
Co 58.93 Co.upf
CELL_PARAMETERS angstrom
-1.5015 2.8850 1.9645
0.0998 -1.8947 2.8587
3.4890 1.3083 0.7452
ATOMIC_POSITIONS crystal
Zn 0.0000 0.1250 0.8750
Zn 0.5000 0.1250 0.3749
Cu 0.5000 0.6249 0.8750
Co 0.0000 0.6251 0.3751

Entry 2:
! ZnCoCu2 (PBE-GGA, relaxed); values from VASP
! - SG = C2/m, No. 12
! - final energy (eV per atom) = -4.10
! - crystal system = monoclinic
! - mass density (g cm⁻³) = 8.62
! - calculated formation energy (eV/f.u.) = 0.17
! - size of the total moment (μB per formula unit) = 1.10
&SYSTEM
  ibrav = 0, nat = 4, ntyp = 3
/
ATOMIC_SPECIES
Cu 63.55 Cu.upf
Zn 65.41 Zn.upf
Co 58.93 Co.upf
CELL_PARAMETERS angstrom
-2.0050 -1.0169 3.8868
0.4307 -1.7934 4.0939
0.9775 3.6810 2.3042
ATOMIC_POSITIONS crystal
Cu 0.4977 0.4977 0.5063
Cu 0.0023 0.0023 0.9937
Zn 0.2500 0.2500 0.2500
Co 0.7500 0.7500 0.7500

Entry 3:
! ZnCoCu2 (PBE-GGA, relaxed); values from VASP
! - SG = F-43m, No. 216
! - final energy (eV per atom) = -4.07
! - crystal system = cubic
! - mass density (g cm⁻³) = 8.75
! - calculated formation energy (eV/f.u.) = 0.28
! - size of the total moment (μB per formula unit) = 0.00
&SYSTEM
  ibrav = 0, nat = 4, ntyp = 3
/
ATOMIC_SPECIES
Cu 63.55 Cu.upf
Zn 65.41 Zn.upf
Co 58.93 Co.upf
CELL_PARAMETERS angstrom
-2.4862 0.3777 -3.2015
-2.4758 -3.0641 -1.0273
-4.0162 0.3490 0.5717
ATOMIC_POSITIONS crystal
Cu 0.2500 0.2500 0.2499
Cu 0.0001 0.0001 0.9998
Zn 0.5000 0.5000 0.5001
Co 0.7500 0.7500 0.7501

Entry 4:
! ZnCoCu3 (PBE-GGA, relaxed); values from VASP
! - SG = Pm-3m, No. 221
! - final energy (eV per atom) = -3.08
! - crystal system = cubic
! - mass density (g cm⁻³) = 6.27
! - calculated formation energy (eV/f.u.) = 5.27
! - size of the total moment (μB per formula unit) = 1.76
&SYSTEM
  ibrav = 0, nat = 5, ntyp = 3
/
ATOMIC_SPECIES
Cu 63.55 Cu.upf
Zn 65.41 Zn.upf
Co 58.93 Co.upf
CELL_PARAMETERS angstrom
4.3698 0.0000 0.0000
0.0000 4.3698 0.0000
0.0000 0.0000 4.3698
ATOMIC_POSITIONS crystal
Cu 0.5000 0.0000 0.0000
Cu 0.0000 0.5000 0.0000
Cu 0.0000 0.0000 0.5000
Zn 0.0000 0.0000 0.0000
Co 0.5000 0.5000 0.5000

Entry 5:
! ZnCoCu2 (PBE-GGA, relaxed); values from VASP
! - SG = Pm, No. 6
! - final energy (eV per atom) = -4.10
! - crystal system = monoclinic
! - mass density (g cm⁻³) = 8.64
! - calculated formation energy (eV/f.u.) = 0.17
! - size of the total moment (μB per formula unit) = 1.04
&SYSTEM
  ibrav = 0, nat = 4, ntyp = 3
/
ATOMIC_SPECIES
Cu 63.55 Cu.upf
Co 58.93 Co.upf
Zn 65.41 Zn.upf
CELL_PARAMETERS angstrom
3.6409 0.0000 0.0000
0.0000 2.5586 0.0461
0.0000 2.4848 5.2333
ATOMIC_POSITIONS crystal
Cu 0.0000 0.0029 0.9972
Cu 0.5000 0.2543 0.2448
Co 0.5000 0.7489 0.7516
Zn 0.0000 0.4940 0.5064

Entry 6:
! Zn3CoCu2 (PBE-GGA, relaxed); values from VASP
! - SG = Cmmm, No. 65
! - final energy (eV per atom) = -3.24
! - crystal system = orthorhombic
! - mass density (g cm⁻³) = 8.37
! - calculated formation energy (eV/f.u.) = -0.33
! - size of the total moment (μB per formula unit) = 0.00
&SYSTEM
  ibrav = 0, nat = 12, ntyp = 3
/
ATOMIC_SPECIES
Cu 63.55 Cu.upf
Zn 65.41 Zn.upf
Co 58.93 Co.upf
CELL_PARAMETERS angstrom
-1.6150 3.4664 -0.2957
-1.4624 1.9156 5.5673
6.1826 2.9331 0.6148
ATOMIC_POSITIONS crystal
Cu 0.3356 0.3287 0.5000
Cu 0.0000 0.0000 0.5000
Cu 0.6644 0.6713 0.5000
Cu 0.0000 0.0000 0.0000
Zn 0.8306 0.3388 0.2412
Zn 0.8306 0.3388 0.7588
Zn 0.5000 0.0000 0.7579
Zn 0.1694 0.6612 0.7588
Zn 0.5000 0.0000 0.2421
Zn 0.1694 0.6612 0.2412
Co 0.3338 0.3325 0.0000
Co 0.6662 0.6675 0.0000

Entry 7:
! ZnCo2Cu2 (PBE-GGA, relaxed); values from VASP
! - SG = P4/mbm, No. 127
! - final energy (eV per atom) = -4.43
! - crystal system = tetragonal
! - mass density (g cm⁻³) = 8.20
! - calculated formation energy (eV/f.u.) = 1.55
! - size of the total moment (μB per formula unit) = 3.06
&SYSTEM
  ibrav = 0, nat = 10, ntyp = 3
/
ATOMIC_SPECIES
Cu 63.55 Cu.upf
Co 58.93 Co.upf
Zn 65.41 Zn.upf
CELL_PARAMETERS angstrom
-0.3939 1.8816 6.6935
4.4666 -5.0694 1.6879
1.9823 1.6326 -0.3423
ATOMIC_POSITIONS crystal
Cu 0.1254 0.3746 0.0000
Cu 0.6254 0.1254 0.0000
Cu 0.8746 0.6254 0.0000
Cu 0.3746 0.8746 0.0000
Co 0.3284 0.1716 0.5000
Co 0.8284 0.3284 0.5000
Co 0.1716 0.6716 0.5000
Co 0.6716 0.8284 0.5000
Zn 0.0000 0.0000 0.0000
Zn 0.5000 0.5000 0.0000

Entry 8:
! ZnCoCu2 (PBE-GGA, relaxed); values from VASP
! - SG = Imm2, No. 44
! - final energy (eV per atom) = -4.05
! - crystal system = orthorhombic
! - mass density (g cm⁻³) = 8.58
! - calculated formation energy (eV/f.u.) = 0.35
! - size of the total moment (μB per formula unit) = 1.22
&SYSTEM
  ibrav = 0, nat = 4, ntyp = 3
/
ATOMIC_SPECIES
Cu 63.55 Cu.upf
Zn 65.41 Zn.upf
Co 58.93 Co.upf
CELL_PARAMETERS angstrom
-4.4282 -0.2435 -2.1839
-0.6272 -3.1656 -3.7448
1.0667 0.7279 4.7718
ATOMIC_POSITIONS crystal
Cu 0.7511 0.2511 0.5000
Cu 0.9988 0.9988 0.0000
Zn 0.5009 0.5009 0.0000
Co 0.2492 0.7492 0.5000

Entry 9:
! ZnCo2Cu (PBE-GGA, relaxed); values from VASP
! - SG = Immm, No. 71
! - final energy (eV per atom) = -4.80
! - crystal system = orthorhombic
! - mass density (g cm⁻³) = 8.58
! - calculated formation energy (eV/f.u.) = 0.39
! - size of the total moment (μB per formula unit) = 3.12
&SYSTEM
  ibrav = 0, nat = 4, ntyp = 3
/
ATOMIC_SPECIES
Cu 63.55 Cu.upf
Co 58.93 Co.upf
Zn 65.41 Zn.upf
CELL_PARAMETERS angstrom
-2.9480 3.8118 -0.0581
-1.5482 1.7720 4.2055
3.8771 -1.0399 -2.6666
ATOMIC_POSITIONS crystal
Cu 0.7500 0.2500 0.5000
Co 0.9992 0.9992 0.0000
Co 0.5008 0.5008 0.0000
Zn 0.2500 0.7500 0.5000

Entry 10:
! ZnCoCu (PBE-GGA, relaxed); values from VASP
! - SG = I4mm, No. 107
! - final energy (eV per atom) = -4.12
! - crystal system = tetragonal
! - mass density (g cm⁻³) = 8.53
! - calculated formation energy (eV/f.u.) = 0.12
! - size of the total moment (μB per formula unit) = 1.40
&SYSTEM
  ibrav = 0, nat = 3, ntyp = 3
/
ATOMIC_SPECIES
Co 58.93 Co.upf
Zn 65.41 Zn.upf
Cu 63.55 Cu.upf
CELL_PARAMETERS angstrom
5.8489 -0.0069 0.0074
5.2898 2.4961 -0.0092
0.5592 0.1422 2.4990
ATOMIC_POSITIONS crystal
Co 0.0014 0.0014 0.9986
Zn 0.3360 0.3360 0.6640
Cu 0.6626 0.6626 0.3374

Entry 11:
! Zn2CoCu (PBE-GGA, relaxed); values from VASP
! - SG = C2/m, No. 12
! - final energy (eV per atom) = -3.42
! - crystal system = monoclinic
! - mass density (g cm⁻³) = 8.27
! - calculated formation energy (eV/f.u.) = 0.08
! - size of the total moment (μB per formula unit) = 1.26
&SYSTEM
  ibrav = 0, nat = 4, ntyp = 3
/
ATOMIC_SPECIES
Zn 65.41 Zn.upf
Co 58.93 Co.upf
Cu 63.55 Cu.upf
CELL_PARAMETERS angstrom
-1.2378 1.6097 -3.9181
0.4780 -0.2757 -4.3784
-3.5254 -2.9878 -0.9035
ATOMIC_POSITIONS crystal
Zn 0.0016 0.0016 0.9952
Zn 0.4984 0.4984 0.5048
Co 0.7500 0.7500 0.7500
Cu 0.2500 0.2500 0.2500

Entry 12:
! Zn4Co2Cu (PBE-GGA, relaxed); values from VASP
! - SG = I4/mmm, No. 139
! - final energy (eV per atom) = -3.35
! - crystal system = tetragonal
! - mass density (g cm⁻³) = 7.74
! - calculated formation energy (eV/f.u.) = -0.04
! - size of the total moment (μB per formula unit) = 0.00
&SYSTEM
  ibrav = 0, nat = 7, ntyp = 3
/
ATOMIC_SPECIES
Zn 65.41 Zn.upf
Cu 63.55 Cu.upf
Co 58.93 Co.upf
CELL_PARAMETERS angstrom
4.7060 0.0397 -1.6318
-2.3342 4.0514 -1.7171
0.0229 -0.0397 4.9808
ATOMIC_POSITIONS crystal
Zn 0.5000 0.5000 0.5000
Zn 0.0000 0.5000 0.0000
Zn 0.0000 0.0000 0.5000
Zn 0.5000 0.0000 0.0000
Cu 0.0000 0.0000 0.0000
Co 0.5000 0.5000 0.0000
Co 0.5000 0.0000 0.5000

What did the tenth record say?
! ZnCoCu (PBE-GGA, relaxed); values from VASP
! - SG = I4mm, No. 107
! - final energy (eV per atom) = -4.12
! - crystal system = tetragonal
! - mass density (g cm⁻³) = 8.53
! - calculated formation energy (eV/f.u.) = 0.12
! - size of the total moment (μB per formula unit) = 1.40
&SYSTEM
  ibrav = 0, nat = 3, ntyp = 3
/
ATOMIC_SPECIES
Co 58.93 Co.upf
Zn 65.41 Zn.upf
Cu 63.55 Cu.upf
CELL_PARAMETERS angstrom
5.8489 -0.0069 0.0074
5.2898 2.4961 -0.0092
0.5592 0.1422 2.4990
ATOMIC_POSITIONS crystal
Co 0.0014 0.0014 0.9986
Zn 0.3360 0.3360 0.6640
Cu 0.6626 0.6626 0.3374

The lowest calculated formation energy belongs to which entry? Zn3CoCu2

What did the twelfth record say?
! Zn4Co2Cu (PBE-GGA, relaxed); values from VASP
! - SG = I4/mmm, No. 139
! - final energy (eV per atom) = -3.35
! - crystal system = tetragonal
! - mass density (g cm⁻³) = 7.74
! - calculated formation energy (eV/f.u.) = -0.04
! - size of the total moment (μB per formula unit) = 0.00
&SYSTEM
  ibrav = 0, nat = 7, ntyp = 3
/
ATOMIC_SPECIES
Zn 65.41 Zn.upf
Cu 63.55 Cu.upf
Co 58.93 Co.upf
CELL_PARAMETERS angstrom
4.7060 0.0397 -1.6318
-2.3342 4.0514 -1.7171
0.0229 -0.0397 4.9808
ATOMIC_POSITIONS crystal
Zn 0.5000 0.5000 0.5000
Zn 0.0000 0.5000 0.0000
Zn 0.0000 0.0000 0.5000
Zn 0.5000 0.0000 0.0000
Cu 0.0000 0.0000 0.0000
Co 0.5000 0.5000 0.0000
Co 0.5000 0.0000 0.5000